# 1
A plane-wave DFT calculation with GGA-PBE was carried out for a relaxed structure of Dy6Bi2SbSe3.

Total moment (μB/cell): 0.0
Formation energy (no corrections) (eV per atom): -1.334

Unit cell a=18.6085 b=4.2646 c=8.5251 alpha=90.00 beta=103.36 gamma=90.00
Closest atoms and distances in Å follow each position.
Space group C2/m (No. 12)
Unique sites:
Dy 0.0048 0.0000 0.2459 [4 per cell]  3 Se 2.94-2.98, 2 Sb 3.06, 1 Bi 3.11
Dy 0.1612 0.5000 0.0961 [4 per cell]  3 Se 2.92-2.93, 3 Bi 3.10-3.11
Dy 0.1687 0.5000 0.5709 [4 per cell]  3 Se 2.93-2.97, 1 Sb 3.06, 2 Bi 3.10
Bi 0.1670 0.0000 0.8348 [4 per cell]  6 Dy 3.10-3.11
Sb 0.0000 0.5000 0.5000 [2 per cell]  6 Dy 3.06
Se 0.0000 0.5000 0.0000 [2 per cell]  6 Dy 2.92-2.98
Se 0.1674 0.0000 0.3345 [4 per cell]  6 Dy 2.93-2.97

---

# 2
A plane-wave DFT calculation with GGA-PBE was carried out for a relaxed structure of Tb2Y6Er3Sc.

Formation energy from the elements (kJ per mole of atoms): 3
Total moment (μB/cell): 0.0

Unit cell a=6.1122 b=10.5772 c=11.7028 alpha=90.00 beta=99.99 gamma=90.00
Closest atoms and distances in Å follow each position.
Space group C2/m (No. 12)
Unique sites:
Tb 0.0000 0.1666 0.0000 [4 per cell]  6 Y 3.52, 3 Tb 3.52-3.53, 3 Sc 3.53
Y 0.2479 0.3346 0.2487 [8 per cell]  6 Y 3.50-3.54, 1 Sc 3.51, 2 Tb 3.52, 3 Er 3.53-3.55
Y 0.2485 0.5000 0.7509 [4 per cell]  6 Y 3.50-3.54, 1 Sc 3.51, 2 Tb 3.52, 3 Er 3.53-3.54
Er 0.0000 0.0000 0.5000 [2 per cell]  6 Er 3.53, 6 Y 3.54
Er 0.0000 0.3336 0.5000 [4 per cell]  6 Er 3.52-3.53, 6 Y 3.53-3.55
Sc 0.0000 0.5000 0.0000 [2 per cell]  6 Y 3.51, 6 Tb 3.53

---

# 3
A plane-wave DFT calculation with GGA-PBE was carried out for a relaxed structure of CeZrMnZn.

Formation energy from the elements (kJ per mole of atoms): 4
Total moment (μB/cell): 5.0

Unit cell a=6.8781 b=6.8781 c=6.8781 alpha=90.00 beta=90.00 gamma=90.00
Closest atoms and distances in Å follow each position.
Space group F-43m (No. 216)
Unique sites:
Ce 0.0000 0.0000 0.0000 [4 per cell]  4 Mn 2.98, 4 Zn 2.98
Zr 0.0000 0.0000 0.5000 [4 per cell]  4 Mn 2.98, 4 Zn 2.98
Mn 0.2500 0.2500 0.2500 [4 per cell]  4 Zr 2.98, 4 Ce 2.98
Zn 0.2500 0.2500 0.7500 [4 per cell]  4 Zr 2.98, 4 Ce 2.98

---

# 4
A plane-wave DFT calculation with GGA-PBE was carried out for a relaxed structure of Si2HgI.

Total moment (μB/cell): 0.0
Formation energy (no corrections) (eV per atom): 0.849
Distance to the lowest polymorph of the same formula (eV/atom): 0.840

Unit cell a=7.1404 b=7.1404 c=7.1404 alpha=90.00 beta=90.00 gamma=90.00
Closest atoms and distances in Å follow each position.
Space group Fm-3m (No. 225)
Unique sites:
Si 0.2500 0.2500 0.2500 [8 per cell]  4 Hg 3.09, 4 I 3.09
Hg 0.0000 0.0000 0.0000 [4 per cell]  8 Si 3.09
I 0.0000 0.0000 0.5000 [4 per cell]  8 Si 3.09

---

# 5
A plane-wave DFT calculation with GGA-PBE was carried out for a relaxed structure of NpTl2Br8.

Total moment (μB/cell): 4.1
Formation energy (no corrections) (eV per atom): -0.771
Distance to the lowest polymorph of the same formula (eV/atom): 0.100

Unit cell a=22.2457 b=4.9987 c=7.4468 alpha=90.00 beta=107.50 gamma=90.00
Closest atoms and distances in Å follow each position.
Space group C2/m (No. 12)
Unique sites:
Np 0.0000 0.0000 0.0000 [2 per cell]  8 Br 2.70-2.98
Tl 0.1757 0.5000 0.5670 [4 per cell]  5 Br 3.06-3.29
Br 0.0128 0.5000 0.7962 [4 per cell]  2 Np 2.98, 3 Br 3.25-3.27
Br 0.0804 0.0000 0.3855 [4 per cell]  1 Np 2.89
Br 0.1166 0.0000 0.9587 [4 per cell]  1 Np 2.70
Br 0.2436 0.5000 0.2650 [4 per cell]  3 Tl 3.06-3.11

---

# 6
A plane-wave DFT calculation with GGA-PBE was carried out for a relaxed structure of ZnNiHg2.

Formation energy from the elements (kJ per mole of atoms): 33
Total moment (μB/cell): 0.0

Unit cell a=7.4692 b=7.4692 c=5.5660 alpha=90.00 beta=90.00 gamma=90.00
Closest atoms and distances in Å follow each position.
Space group I-42d (No. 122)
Unique sites:
Zn 0.0000 0.0000 0.0000 [4 per cell]  2 Ni 2.78, 4 Hg 2.84
Ni 0.0000 0.0000 0.5000 [4 per cell]  4 Hg 2.62, 2 Zn 2.78
Hg 0.2283 0.2500 0.6250 [8 per cell]  2 Ni 2.62, 2 Hg 2.80, 2 Zn 2.84

---

# 7
A plane-wave DFT calculation with GGA-PBE was carried out for a relaxed structure of PmGdTmGa.

Formation energy from the elements (kJ per mole of atoms): -12
Total moment (μB/cell): 32.6

Unit cell a=7.5752 b=7.5752 c=7.5752 alpha=90.00 beta=90.00 gamma=90.00
Closest atoms and distances in Å follow each position.
Space group F-43m (No. 216)
Unique sites:
Pm 0.0000 0.0000 0.0000 [4 per cell]  4 Tm 3.28, 4 Ga 3.28
Gd 0.0000 0.0000 0.5000 [4 per cell]  4 Ga 3.28, 4 Tm 3.28
Tm 0.2500 0.2500 0.7500 [4 per cell]  4 Gd 3.28, 4 Pm 3.28
Ga 0.2500 0.2500 0.2500 [4 per cell]  4 Pm 3.28, 4 Gd 3.28

---

# 8
A plane-wave DFT calculation with GGA-PBE was carried out for a relaxed structure of PaI5Br2.

Total moment (μB/cell): 0.0
Formation energy (no corrections) (eV per atom): -0.760
Distance to the lowest polymorph of the same formula (eV/atom): 0.000

Unit cell a=7.9805 b=8.1461 c=8.3912 alpha=65.68 beta=84.22 gamma=76.93
Closest atoms and distances in Å follow each position.
Space group P1 (No. 1)
Unique sites:
Pa 0.0000 0.0000 0.0000 [1 per cell]  1 Br 2.66, 3 I 2.89-2.91
I 0.2176 0.7234 0.8969 [1 per cell]  1 Pa 2.89
I 0.2562 0.9882 0.2262 [1 per cell]  1 Pa 2.89
I 0.6887 0.9895 0.8067 [1 per cell]  1 Br 2.70
I 0.7606 0.3075 0.0845 [1 per cell]  1 Br 2.85, 1 Pa 3.07
I 0.8189 0.7374 0.2677 [1 per cell]  1 Pa 2.91
Br 0.0679 0.2771 0.7092 [1 per cell]  1 Pa 2.66
Br 0.7267 0.1484 0.4563 [1 per cell]  2 I 2.70-2.85

---

What is the total moment in the sixth record?
0.0 μB/cell

---

total moment of number 2 (Tb2Y6Er3Sc)?
0.0 μB/cell

---

Which of these has the highest total moment?
PmGdTmGa

---

What is the formula in the sixth record?
ZnNiHg2